A relaxed ZnPdO3 crystal. Source: Alexandria via LeMat-Bulk, functional PBE.

Computed properties:
For the energy, the calculation gives -5.02 eV/atom. As for the volume: 333 Å³ per cell. Its uncorrected formation energy is -3.8 eV/f.u. The value obtained for the spin magnetization is 0.0 μB per cell.

a = 5.2413 Å, b = 5.2413 Å, c = 14.0141 Å
α = 90.00°, β = 90.00°, γ = 120.00°
Space group R-3 (No. 148, hexagonal axes)
Asymmetric unit:
1 Zn 0.0000 0.0000 0.1320 [6 per cell]
2 Pd 0.0000 0.0000 0.3413 [6 per cell]
3 O 0.0154 0.7040 0.2515 [18 per cell]